{
  "formula": "La12Sb3O5",
  "functional": "GGA-PBE",
  "state": "relaxed",
  "dft_energy_ry_per_atom": -0.481,
  "cell": [[-6.557, 3.764, 12.123], [-8.168, -9.294, -7.144], [12.562, -6.077, 3.068]],
  "species": ["Sb", "Sb", "Sb", "Sb", "Sb", "Sb", "Sb", "Sb", "Sb", "Sb", "Sb", "Sb", "O", "O", "O", "O", "O", "O", "O", "O", "O", "O", "O", "O", "O", "O", "O", "O", "O", "O", "O", "O", "La", "La", "La", "La", "La", "La", "La", "La", "La", "La", "La", "La", "La", "La", "La", "La", "La", "La", "La", "La", "La", "La", "La", "La", "La", "La", "La", "La", "La", "La", "La", "La", "La", "La", "La", "La", "La", "La", "La", "La", "La", "La", "La", "La", "La", "La", "La", "La"],
  "fractional_positions": [[0.750, 0.375, 0.125], [0.875, 0.750, 0.125], [0.375, 0.750, 0.625], [0.250, 0.125, 0.375], [0.875, 0.125, 0.250], [0.375, 0.625, 0.250], [0.625, 0.375, 0.750], [0.125, 0.875, 0.750], [0.750, 0.875, 0.625], [0.625, 0.250, 0.375], [0.125, 0.250, 0.875], [0.250, 0.625, 0.875], [0.125, 0.375, 0.250], [0.000, 0.500, 0.000], [0.000, 0.000, 0.000], [0.375, 0.250, 0.125], [0.500, 0.000, 0.500], [0.500, 0.500, 0.000], [0.125, 0.750, 0.375], [0.750, 0.125, 0.875], [0.750, 0.625, 0.375], [0.375, 0.125, 0.750], [0.625, 0.875, 0.250], [0.500, 0.500, 0.500], [0.500, 0.000, 0.000], [0.000, 0.000, 0.500], [0.250, 0.375, 0.625], [0.250, 0.875, 0.125], [0.000, 0.500, 0.500], [0.875, 0.250, 0.625], [0.625, 0.750, 0.875], [0.875, 0.625, 0.750], [0.698, 0.110, 0.011], [0.313, 0.511, 0.402], [0.989, 0.390, 0.302], [0.511, 0.198, 0.110], [0.588, 0.698, 0.687], [0.989, 0.598, 0.187], [0.313, 0.802, 0.412], [0.098, 0.912, 0.110], [0.598, 0.989, 0.687], [0.698, 0.588, 0.187], [0.802, 0.489, 0.390], [0.813, 0.902, 0.011], [0.110, 0.698, 0.511], [0.390, 0.402, 0.088], [0.088, 0.902, 0.390], [0.412, 0.110, 0.598], [0.088, 0.187, 0.198], [0.489, 0.687, 0.098], [0.813, 0.912, 0.302], [0.110, 0.412, 0.098], [0.390, 0.989, 0.802], [0.598, 0.610, 0.412], [0.902, 0.813, 0.511], [0.802, 0.313, 0.912], [0.402, 0.390, 0.588], [0.098, 0.187, 0.489], [0.198, 0.687, 0.088], [0.187, 0.088, 0.698], [0.610, 0.011, 0.198], [0.890, 0.588, 0.902], [0.511, 0.313, 0.902], [0.588, 0.890, 0.402], [0.912, 0.813, 0.802], [0.912, 0.098, 0.610], [0.890, 0.302, 0.489], [0.187, 0.098, 0.989], [0.610, 0.598, 0.912], [0.402, 0.011, 0.313], [0.302, 0.412, 0.813], [0.198, 0.511, 0.610], [0.902, 0.088, 0.890], [0.687, 0.198, 0.588], [0.489, 0.802, 0.890], [0.011, 0.402, 0.813], [0.412, 0.302, 0.313], [0.011, 0.610, 0.698], [0.687, 0.489, 0.598], [0.302, 0.890, 0.989]]
}


{
  "formula": "La12CeAl3",
  "functional": "GGA-PBE",
  "state": "relaxed",
  "formation_enthalpy_0k_ev_per_atom": -0.12,
  "cell": [[-2.884, -3.935, 1.101], [-0.407, -1.065, -4.870], [16.426, -11.705, 1.187]],
  "species": ["La", "La", "La", "La", "La", "La", "La", "La", "La", "La", "La", "La", "Ce", "Al", "Al", "Al"],
  "fractional_positions": [[0.500, 0.500, 0.000], [0.500, 0.500, 0.256], [0.500, 0.500, 0.500], [0.500, 0.500, 0.744], [0.500, 0.000, 0.130], [0.500, 0.000, 0.377], [0.500, 0.000, 0.623], [0.500, 0.000, 0.870], [0.000, 0.500, 0.130], [0.000, 0.500, 0.377], [0.000, 0.500, 0.623], [0.000, 0.500, 0.870], [0.000, 0.000, 0.000], [0.000, 0.000, 0.254], [0.000, 0.000, 0.500], [0.000, 0.000, 0.746]]
}


| no. | spin magnetization (μB/atom) |
| --- | --- |
| 1 | 0.014 |
| 2 | 0.032 |